Record 1
# LaH6C2SNO9 (GGA-PBE, relaxed)
# Spin magnetization: 0.0000 μB/atom
# Total energy: -6.431 eV/atom
# Space group: P2_1/c (14)
data_LaH6C2SNO9
_chemical_formula_sum 'La4 H24 C8 S4 N4 O36'
_space_group_name_H-M_alt 'P 1'
_space_group_IT_number 1
_cell_length_a 6.793
_cell_length_b 8.950
_cell_length_c 14.297
_cell_angle_alpha 90.00
_cell_angle_beta 94.94
_cell_angle_gamma 90.00
loop_
_space_group_symop_operation_xyz
'x,y,z'
loop_
_atom_site_label
_atom_site_fract_x
_atom_site_fract_y
_atom_site_fract_z
_atom_site_occupancy
H1 0.196 0.943 0.323 1
H2 0.614 0.452 0.585 1
O1 0.924 0.765 0.498 1
O2 0.748 0.503 0.002 1
H3 0.886 0.952 0.915 1
H4 0.184 0.389 0.269 1
C1 0.365 0.953 0.786 1
H5 0.816 0.611 0.731 1
O3 0.271 0.593 0.442 1
O4 0.424 0.735 0.998 1
O5 0.252 0.497 0.998 1
O6 0.550 0.602 0.203 1
H6 0.346 0.039 0.087 1
O7 0.454 0.042 0.845 1
H7 0.654 0.961 0.913 1
H8 0.804 0.057 0.677 1
O8 0.576 0.265 0.002 1
O9 0.908 0.277 0.953 1
O10 0.352 0.187 0.619 1
H9 0.601 0.170 0.661 1
H10 0.684 0.111 0.769 1
O11 0.248 0.997 0.502 1
O12 0.592 0.777 0.547 1
H11 0.316 0.889 0.231 1
C2 0.638 0.537 0.273 1
N1 0.729 0.144 0.705 1
O13 0.408 0.223 0.453 1
O14 0.229 0.093 0.058 1
H12 0.399 0.830 0.339 1
H13 0.323 0.266 0.215 1
O15 0.092 0.723 0.047 1
La1 0.250 0.758 0.585 1
S1 0.227 0.661 0.979 1
O16 0.046 0.542 0.655 1
O17 0.546 0.958 0.155 1
S2 0.773 0.339 0.021 1
O18 0.950 0.102 0.297 1
La2 0.250 0.258 0.915 1
O19 0.852 0.313 0.119 1
H14 0.899 0.670 0.839 1
S3 0.727 0.839 0.479 1
O20 0.051 0.359 0.764 1
La3 0.750 0.742 0.085 1
O21 0.771 0.907 0.942 1
H15 0.386 0.548 0.415 1
C3 0.862 0.037 0.227 1
C4 0.635 0.047 0.214 1
O22 0.954 0.458 0.345 1
H16 0.696 0.557 0.823 1
La4 0.750 0.242 0.415 1
H17 0.304 0.443 0.177 1
C5 0.865 0.547 0.286 1
O23 0.056 0.040 0.834 1
H18 0.677 0.734 0.785 1
C6 0.135 0.453 0.714 1
O24 0.729 0.407 0.558 1
H19 0.177 0.766 0.285 1
C7 0.138 0.963 0.773 1
O25 0.444 0.540 0.666 1
O26 0.648 0.813 0.381 1
O27 0.944 0.960 0.166 1
N2 0.229 0.356 0.205 1
O28 0.148 0.687 0.881 1
O29 0.556 0.460 0.334 1
O30 0.551 0.141 0.264 1
O31 0.752 0.003 0.498 1
H20 0.101 0.330 0.161 1
O32 0.050 0.898 0.703 1
O33 0.450 0.398 0.797 1
S4 0.273 0.161 0.521 1
H21 0.823 0.234 0.715 1
H22 0.846 0.461 0.587 1
O34 0.449 0.859 0.736 1
N3 0.771 0.644 0.795 1
O35 0.076 0.235 0.502 1
C8 0.362 0.463 0.727 1
O36 0.949 0.641 0.236 1
H23 0.114 0.048 0.085 1
N4 0.271 0.856 0.295 1
H24 0.154 0.539 0.413 1


Record 2
# Ho2MgSc (GGA-PBE, relaxed)
# Spin magnetization: 0.0005 μB/atom
# Space group: P4/mmm (123)
# E_form: -0.01 eV/atom
# Energy above the lowest structure with this stoichiometry: 0 meV/atom
data_Ho2MgSc
_chemical_formula_sum 'Ho2 Mg1 Sc1'
_space_group_name_H-M_alt 'P 1'
_space_group_IT_number 1
_cell_length_a 3.546
_cell_length_b 3.546
_cell_length_c 8.786
_cell_angle_alpha 90.00
_cell_angle_beta 90.00
_cell_angle_gamma 90.00
loop_
_space_group_symop_operation_xyz
'x,y,z'
loop_
_atom_site_label
_atom_site_fract_x
_atom_site_fract_y
_atom_site_fract_z
_atom_site_occupancy
Ho1 0.000 0.000 0.749 1
Ho2 0.000 0.000 0.251 1
Mg1 0.500 0.500 0.000 1
Sc1 0.500 0.500 0.500 1


Record 3
# MgSc2As (GGA-PBE, relaxed)
# Spin magnetization: 0.0000 μB/atom
# Space group: P4mm (99)
# E_form: -0.45 eV/atom
data_MgSc2As
_chemical_formula_sum 'Mg1 Sc2 As1'
_space_group_name_H-M_alt 'P 1'
_space_group_IT_number 1
_cell_length_a 3.790
_cell_length_b 3.790
_cell_length_c 5.886
_cell_angle_alpha 90.00
_cell_angle_beta 90.00
_cell_angle_gamma 90.00
loop_
_space_group_symop_operation_xyz
'x,y,z'
loop_
_atom_site_label
_atom_site_fract_x
_atom_site_fract_y
_atom_site_fract_z
_atom_site_occupancy
Sc1 0.500 0.500 0.275 1
Mg1 0.500 0.500 0.759 1
As1 0.000 0.000 0.473 1
Sc2 0.000 0.000 0.993 1